# 1
The following is a DFT calculation (GGA-PBE) of crystalline Tl14InSn at its relaxed geometry.

It has space group Amm2 (No. 38), with a = 10.936 Å, b = 8.202 Å, c = 10.874 Å, α = 90.00°, β = 90.00° and γ = 90.00°. The asymmetric unit holds Tl at (0.000, 0.000, 0.000), Tl at (0.000, 0.000, 0.481), Tl at (0.000, 0.231, 0.741), Tl at (0.241, 0.000, 0.238), Tl at (0.258, 0.246, 0.491), Tl at (0.263, 0.000, 0.745), Tl at (0.500, 0.231, 0.238), In at (0.500, 0.000, 0.496) and Sn at (0.500, 0.000, 0.978).

The value obtained for the energy relative to the elements is 0.01 eV per atom. Its density of states at the Fermi level is 0.47 states/eV/atom.

# 2
The following is a DFT calculation (GGA-PBE) of crystalline BaLa2Fe at its relaxed geometry.

It has space group P4mm (No. 99), with a = 3.800 Å, b = 3.800 Å, c = 9.334 Å, α = 90.00°, β = 90.00° and γ = 90.00°. The asymmetric unit holds Ba at (0.000, 0.000, 0.000), La at (0.000, 0.000, 0.381), La at (0.500, 0.500, 0.643) and Fe at (0.500, 0.500, 0.243).

The value obtained for the energy relative to the elements is 0.32 eV per atom. Its density of states at the Fermi level is 1.67 states/eV/atom. The value obtained for the polymorph energy (0 for the lowest one) is 0.65 eV/f.u.

# 3
The following is a DFT calculation (GGA-PBE) of crystalline Na3Ho2ScO6 at its relaxed geometry.

It has space group C2/m (No. 12), with a = 5.775 Å, b = 10.010 Å, c = 5.869 Å, α = 90.00°, β = 109.04° and γ = 90.00°. The asymmetric unit holds Na at (0.000, 0.000, 0.000), Na at (0.000, 0.339, 0.000), Ho at (0.000, 0.167, 0.500), Sc at (0.000, 0.500, 0.500), O at (0.229, 0.340, 0.708) and O at (0.248, 0.000, 0.706).

For the formation energy from raw total energies, the calculation gives -33.833 eV per formula unit. Its density of states at the Fermi level is 0.00 states/eV/atom.

# 4
The following is a DFT calculation (GGA-PBE) of crystalline FeAgW at its relaxed geometry.

It has space group Fmm2 (No. 42), with a = 3.141 Å, b = 4.378 Å, c = 13.408 Å, α = 90.00°, β = 90.00° and γ = 90.00°. The asymmetric unit holds Fe at (0.000, 0.000, 0.000), Ag at (0.000, 0.000, 0.332) and W at (0.000, 0.000, 0.649).

The value obtained for the energy relative to the elements is 0.42 eV per atom. Its density of states at the Fermi level is 0.79 states/eV/atom. The value obtained for the polymorph energy (0 for the lowest one) is 0.00 eV/f.u.

# 5
The following is a DFT calculation (GGA-PBE) of crystalline CdFe2TeAs at its relaxed geometry.

It has space group P4/mmm (No. 123), with a = 4.636 Å, b = 4.636 Å, c = 5.548 Å, α = 90.00°, β = 90.00° and γ = 90.00°. The asymmetric unit holds Cd at (0.000, 0.000, 0.000), Fe at (0.000, 0.500, 0.500), Te at (0.000, 0.000, 0.500) and As at (0.500, 0.500, 0.000).

For the formation energy from raw total energies, the calculation gives 6.957 eV per formula unit. Its density of states at the Fermi level is 1.72 states/eV/atom.

# 6
The following is a DFT calculation (GGA-PBE) of crystalline Y6As2Se3S at its relaxed geometry.

It has space group C2/m (No. 12), with a = 17.843 Å, b = 4.065 Å, c = 8.179 Å, α = 90.00°, β = 103.94° and γ = 90.00°. The asymmetric unit holds Y at (0.002, 0.000, 0.234), Y at (0.160, 0.500, 0.087), Y at (0.169, 0.500, 0.576), As at (0.166, 0.000, 0.332), Se at (0.000, 0.500, 0.500), Se at (0.168, 0.000, 0.834) and S at (0.000, 0.500, 0.000).

For the formation energy from raw total energies, the calculation gives -21.371 eV per formula unit. Its density of states at the Fermi level is 0.38 states/eV/atom.

# 7
The following is a DFT calculation (GGA-PBE) of crystalline Dy5HoTm12 at its relaxed geometry.

It has space group C2/m (No. 12), with a = 6.082 Å, b = 10.525 Å, c = 17.124 Å, α = 90.00°, β = 96.83° and γ = 90.00°. The asymmetric unit holds Dy at (0.000, 0.000, 0.000), Dy at (0.000, 0.167, 0.500), Dy at (0.000, 0.333, 0.000), Ho at (0.000, 0.500, 0.500), Tm at (0.112, 0.000, 0.332), Tm at (0.112, 0.333, 0.332), Tm at (0.224, 0.167, 0.167) and Tm at (0.224, 0.500, 0.167).

The value obtained for the energy relative to the elements is 0.01 eV per atom. Its density of states at the Fermi level is 1.30 states/eV/atom.

# 8
The following is a DFT calculation (GGA-PBE) of crystalline SrZrW2 at its relaxed geometry.

It has space group I-4m2 (No. 119), with a = 4.870 Å, b = 4.870 Å, c = 6.916 Å, α = 90.00°, β = 90.00° and γ = 90.00°. The asymmetric unit holds Sr at (0.000, 0.000, 0.000), Zr at (0.000, 0.500, 0.250), W at (0.000, 0.000, 0.500) and W at (0.000, 0.500, 0.750).

The value obtained for the energy relative to the elements is 1.00 eV per atom. Its density of states at the Fermi level is 1.53 states/eV/atom. The value obtained for the polymorph energy (0 for the lowest one) is 1.93 eV/f.u.

# 9
The following is a DFT calculation (GGA-PBE) of crystalline GdP3O9 at its relaxed geometry.

It has space group C222_1 (No. 20), with a = 8.545 Å, b = 11.172 Å, c = 7.304 Å, α = 90.00°, β = 90.00° and γ = 90.00°. The asymmetric unit holds Gd at (0.127, 0.000, 0.000), P at (0.011, 0.323, 0.456), P at (0.250, 0.000, 0.500), O at (0.000, 0.372, 0.250), O at (0.019, 0.192, 0.033), O at (0.138, 0.390, 0.954), O at (0.152, 0.019, 0.671) and O at (0.158, 0.373, 0.536).

For the formation energy from raw total energies, the calculation gives -32.437 eV per formula unit. Its density of states at the Fermi level is 0.00 states/eV/atom. The value obtained for the polymorph energy (0 for the lowest one) is 0.21 eV/f.u.

# 10
The following is a DFT calculation (GGA-PBE) of crystalline Ta2SiCl at its relaxed geometry.

It has space group Cmmm (No. 65), with a = 3.295 Å, b = 4.886 Å, c = 8.410 Å, α = 90.00°, β = 90.00° and γ = 90.00°. The asymmetric unit holds Ta at (0.000, 0.000, 0.234), Si at (0.000, 0.500, 0.000) and Cl at (0.000, 0.500, 0.500).

For the formation energy from raw total energies, the calculation gives 0.567 eV per formula unit. Its density of states at the Fermi level is 0.67 states/eV/atom. The value obtained for the polymorph energy (0 for the lowest one) is 0.93 eV/f.u.

# 11
The following is a DFT calculation (GGA-PBE) of crystalline PrNd6Hg at its relaxed geometry.

It has space group P-1 (No. 2), with a = 6.511 Å, b = 6.512 Å, c = 6.515 Å, α = 95.06°, β = 95.15° and γ = 95.19°. The asymmetric unit holds Pr at (0.000, 0.000, 0.000), Nd at (0.060, 0.542, 0.261), Nd at (0.261, 0.060, 0.542), Nd at (0.459, 0.739, 0.940) and Hg at (0.500, 0.500, 0.500).

The value obtained for the energy relative to the elements is -0.02 eV per atom. Its density of states at the Fermi level is 1.26 states/eV/atom.

# 12
The following is a DFT calculation (GGA-PBE) of crystalline PmTm4Ag2 at its relaxed geometry.

It has space group R-3m (No. 166, hexagonal axes), with a = 4.8998 Å, b = 4.8998 Å, c = 30.7613 Å, α = 90.00°, β = 90.00° and γ = 120.00°. The asymmetric unit holds Pm at (0.0000, 0.0000, 0.0000), Tm at (0.0000, 0.0000, 0.2009), Tm at (0.0000, 0.0000, 0.3993) and Ag at (0.0000, 0.0000, 0.1023).

The value obtained for the energy relative to the elements is 0.16 eV per atom. Its density of states at the Fermi level is 1.41 states/eV/atom.

# 13
The following is a DFT calculation (GGA-PBE) of crystalline Ho3CuSe2 at its relaxed geometry.

It has space group C2/m (No. 12), with a = 6.913 Å, b = 12.031 Å, c = 7.180 Å, α = 90.00°, β = 108.92° and γ = 90.00°. The asymmetric unit holds Ho at (0.240, 0.000, 0.241), Ho at (0.249, 0.170, 0.758), Cu at (0.000, 0.168, 0.000), Se at (0.000, 0.000, 0.500), Se at (0.000, 0.339, 0.500) and Se at (0.000, 0.500, 0.000).

For the formation energy from raw total energies, the calculation gives -7.300 eV per formula unit. Its density of states at the Fermi level is 0.56 states/eV/atom.

# 14
The following is a DFT calculation (GGA-PBE) of crystalline ZnGeSeO at its relaxed geometry.

It has space group Cm (No. 8), with a = 9.210 Å, b = 3.530 Å, c = 5.890 Å, α = 90.00°, β = 118.83° and γ = 90.00°. The asymmetric unit holds Zn at (0.000, 0.000, 0.000), Ge at (0.318, 0.000, 0.262), Se at (0.491, 0.500, 0.563) and O at (0.417, 0.000, 0.052).

For the formation energy from raw total energies, the calculation gives -3.174 eV per formula unit. Its density of states at the Fermi level is 0.00 states/eV/atom. The value obtained for the polymorph energy (0 for the lowest one) is 0.00 eV/f.u.

# 15
The following is a DFT calculation (GGA-PBE) of crystalline BaBeAs2Br at its relaxed geometry.

It has space group P4/mmm (No. 123), with a = 6.720 Å, b = 6.720 Å, c = 6.222 Å, α = 90.00°, β = 90.00° and γ = 90.00°. The asymmetric unit holds Ba at (0.000, 0.000, 0.000), Be at (0.500, 0.500, 0.500), As at (0.000, 0.500, 0.000) and Br at (0.000, 0.000, 0.500).

For the formation energy from raw total energies, the calculation gives 4.488 eV per formula unit. Its density of states at the Fermi level is 0.17 states/eV/atom. The value obtained for the polymorph energy (0 for the lowest one) is 7.27 eV/f.u.

# 16
The following is a DFT calculation (GGA-PBE) of crystalline CeAgCl6 at its relaxed geometry.

It has space group C2/m (No. 12), with a = 7.052 Å, b = 11.528 Å, c = 7.093 Å, α = 90.00°, β = 104.41° and γ = 90.00°. The asymmetric unit holds Ce at (0.000, 0.000, 0.000), Ag at (0.000, 0.000, 0.500), Cl at (0.107, 0.152, 0.753) and Cl at (0.160, 0.500, 0.770).

For the formation energy from raw total energies, the calculation gives -10.345 eV per formula unit. Its density of states at the Fermi level is 0.33 states/eV/atom. The value obtained for the polymorph energy (0 for the lowest one) is 0.00 eV/f.u.

# 17
The following is a DFT calculation (GGA-PBE) of crystalline Ca3SbP at its relaxed geometry.

It has space group Fd-3m (No. 227, origin choice 2), with a = 14.013 Å, b = 14.013 Å, c = 14.013 Å, α = 90.00°, β = 90.00° and γ = 90.00°. The asymmetric unit holds Ca at (0.106, 0.375, 0.375), Sb at (0.000, 0.000, 0.500) and P at (0.000, 0.000, 0.000).

For the formation energy from raw total energies, the calculation gives -4.290 eV per formula unit. Its density of states at the Fermi level is 0.00 states/eV/atom. The value obtained for the polymorph energy (0 for the lowest one) is 1.18 eV/f.u.

# 18
The following is a DFT calculation (GGA-PBE) of crystalline Tl2In12Hg5 at its relaxed geometry.

It has space group C2/m (No. 12), with a = 15.942 Å, b = 9.338 Å, c = 7.085 Å, α = 90.00°, β = 94.01° and γ = 90.00°. The asymmetric unit holds Tl at (0.000, 0.193, 0.000), In at (0.045, 0.500, 0.272), In at (0.104, 0.269, 0.590), In at (0.166, 0.000, 0.880), In at (0.198, 0.244, 0.201), Hg at (0.000, 0.000, 0.500), Hg at (0.145, 0.500, 0.907) and Hg at (0.240, 0.000, 0.487).

The value obtained for the energy relative to the elements is 0.03 eV per atom. Its density of states at the Fermi level is 0.49 states/eV/atom. The value obtained for the polymorph energy (0 for the lowest one) is 0.00 eV/f.u.

# 19
The following is a DFT calculation (GGA-PBE) of crystalline TcB2ClO at its relaxed geometry.

It has space group P4/mmm (No. 123), with a = 3.615 Å, b = 3.615 Å, c = 4.607 Å, α = 90.00°, β = 90.00° and γ = 90.00°. The asymmetric unit holds Tc at (0.000, 0.000, 0.000), B at (0.000, 0.500, 0.500), Cl at (0.000, 0.000, 0.500) and O at (0.500, 0.500, 0.000).

For the formation energy from raw total energies, the calculation gives 11.271 eV per formula unit. Its density of states at the Fermi level is 0.62 states/eV/atom.

# 20
The following is a DFT calculation (GGA-PBE) of crystalline LaTlPb2S4 at its relaxed geometry.

It has space group P2/m (No. 10), with a = 7.344 Å, b = 4.280 Å, c = 7.448 Å, α = 90.00°, β = 108.67° and γ = 90.00°. The asymmetric unit holds La at (0.000, 0.000, 0.000), Tl at (0.000, 0.500, 0.500), Pb at (0.500, 0.000, 0.500), Pb at (0.500, 0.500, 0.000), S at (0.243, 0.500, 0.232) and S at (0.254, 0.000, 0.773).

For the formation energy from raw total energies, the calculation gives -7.809 eV per formula unit.